1.
Compound: BMo3Ru
Source: Alexandria
Functional: PBE
Structure: relaxed

Geometry as CIF:
```
data_BMo3Ru
_cell_length_a 4.6476
_cell_length_b 4.6476
_cell_length_c 4.6476
_cell_angle_alpha 90.00
_cell_angle_beta 90.00
_cell_angle_gamma 90.00
_symmetry_space_group_name_H-M 'P 1'
_symmetry_Int_Tables_number 1
loop_
_symmetry_equiv_pos_as_xyz
'x,y,z'
loop_
_atom_site_label
_atom_site_fract_x
_atom_site_fract_y
_atom_site_fract_z
_atom_site_occupancy
Ru1 0.0000 0.0000 0.0000 1
B1 0.5000 0.5000 0.5000 1
Mo1 0.0000 0.5000 0.0000 1
Mo2 0.5000 0.0000 0.0000 1
Mo3 0.0000 0.0000 0.5000 1
```

Computed properties:
VASP energy: -36.33 eV per cell
energy above the most stable polymorph in this dataset: 2188.1 meV/atom
symmetry: Pm-3m, No. 221

=====

2.
Compound: B4MoRu2
Source: Alexandria
Functional: PBE
Structure: relaxed

Geometry as CIF:
```
data_B4MoRu2
_cell_length_a 3.0054
_cell_length_b 3.3142
_cell_length_c 6.9857
_cell_angle_alpha 103.70
_cell_angle_beta 102.41
_cell_angle_gamma 90.00
_symmetry_space_group_name_H-M 'P 1'
_symmetry_Int_Tables_number 1
loop_
_symmetry_equiv_pos_as_xyz
'x,y,z'
loop_
_atom_site_label
_atom_site_fract_x
_atom_site_fract_y
_atom_site_fract_z
_atom_site_occupancy
B1 0.9300 0.4296 0.8597 1
B2 0.0700 0.5704 0.1403 1
B3 0.3541 0.3535 0.7079 1
B4 0.6459 0.6465 0.2921 1
Mo1 0.5000 0.0000 0.0000 1
Ru1 0.8196 0.8193 0.6395 1
Ru2 0.1804 0.1807 0.3605 1
```

Computed properties:
VASP energy: -58.23 eV per cell
symmetry: Immm, No. 71

=====

3.
Compound: B2MoRu4
Source: Alexandria
Functional: PBE
Structure: relaxed

Geometry as CIF:
```
data_B2MoRu4
_cell_length_a 3.7057
_cell_length_b 3.7078
_cell_length_c 6.5194
_cell_angle_alpha 106.52
_cell_angle_beta 90.00
_cell_angle_gamma 90.00
_symmetry_space_group_name_H-M 'P 1'
_symmetry_Int_Tables_number 1
loop_
_symmetry_equiv_pos_as_xyz
'x,y,z'
loop_
_atom_site_label
_atom_site_fract_x
_atom_site_fract_y
_atom_site_fract_z
_atom_site_occupancy
Ru1 0.0000 0.3281 0.6561 1
Ru2 0.5000 0.8287 0.6573 1
Ru3 0.0000 0.6719 0.3439 1
Ru4 0.5000 0.1713 0.3427 1
B1 0.5000 0.4298 0.8597 1
B2 0.5000 0.5702 0.1403 1
Mo1 0.0000 0.0000 0.0000 1
```

Computed properties:
VASP energy: -60.57 eV per cell
symmetry: Cmmm, No. 65

=====

Number 1: energy of formation 2.422 eV/atom. Number 2: energy of formation -0.305 eV/atom. Number 3: energy of formation 0.103 eV/atom.